(1)
# NaNdTm2Tl4 PBE relaxed
# * total magnetization: 0.00 μB/f.u.
# * VASP energy: -3.34 eV per atom
# * N(E_F): 0.555 states/eV per atom
# * theoretical density: 10018 kg/m3
data_NaNdTm2Tl4
_chemical_formula_sum 'Na3 Nd3 Tm6 Tl12'
_symmetry_space_group_name_H-M 'R -3 m'
_symmetry_Int_Tables_number 166
_symmetry_space_group_name_Hall '-R 3 2"'
_cell_length_a 5.3344
_cell_length_b 5.3344
_cell_length_c 26.6889
_cell_angle_alpha 90.00
_cell_angle_beta 90.00
_cell_angle_gamma 120.00
loop_
_atom_site_label
_atom_site_type_symbol
_atom_site_fract_x
_atom_site_fract_y
_atom_site_fract_z
Na1 Na 0.0000 0.0000 0.0000
Nd1 Nd 0.0000 0.0000 0.5000
Tm1 Tm 0.0000 0.0000 0.2533
Tl1 Tl 0.0000 0.0000 0.1224
Tl2 Tl 0.0000 0.0000 0.3729

(2)
# KBaNa2 PBE relaxed
# * polymorph energy (0 for the lowest one): 0 meV/atom
# * total magnetization: 0.00 μB/f.u.
# * N(E_F): 0.579 states/eV per atom
# * theoretical density: 1773 kg/m3
data_KBaNa2
_chemical_formula_sum 'K1 Ba1 Na2'
_symmetry_space_group_name_H-M 'P 4/m m m'
_symmetry_Int_Tables_number 123
_symmetry_space_group_name_Hall '-P 4 2'
_cell_length_a 4.437
_cell_length_b 4.437
_cell_length_c 10.578
_cell_angle_alpha 90.00
_cell_angle_beta 90.00
_cell_angle_gamma 90.00
loop_
_atom_site_label
_atom_site_type_symbol
_atom_site_fract_x
_atom_site_fract_y
_atom_site_fract_z
K1 K 0.000 0.000 0.000
Ba1 Ba 0.000 0.000 0.500
Na1 Na 0.500 0.500 0.251

(3)
# MnAl2MoH PBE relaxed
# * total magnetization: 3.35 μB/f.u.
# * VASP energy: -6.23 eV per atom
# * N(E_F): 0.550 states/eV per atom
# * theoretical density: 5701 kg/m3
data_MnAl2MoH
_chemical_formula_sum 'Mn1 Al2 Mo1 H1'
_symmetry_space_group_name_H-M 'P 4/m m m'
_symmetry_Int_Tables_number 123
_symmetry_space_group_name_Hall '-P 4 2'
_cell_length_a 4.105
_cell_length_b 4.105
_cell_length_c 3.559
_cell_angle_alpha 90.00
_cell_angle_beta 90.00
_cell_angle_gamma 90.00
loop_
_atom_site_label
_atom_site_type_symbol
_atom_site_fract_x
_atom_site_fract_y
_atom_site_fract_z
Mn1 Mn 0.000 0.000 0.000
Al1 Al 0.000 0.500 0.500
Mo1 Mo 0.500 0.500 0.000
H1 H 0.000 0.000 0.500

(4)
# LiZrAsSe2 PBE relaxed
# * polymorph energy (0 for the lowest one): 0 meV/atom
# * total magnetization: 0.32 μB/f.u.
# * N(E_F): 0.978 states/eV per atom
# * theoretical density: 3805 kg/m3
# * ΔE_f (raw): -0.48 eV per atom
data_LiZrAsSe2
_chemical_formula_sum 'Li1 Zr1 As1 Se2'
_symmetry_space_group_name_H-M 'P 4/m m m'
_symmetry_Int_Tables_number 123
_symmetry_space_group_name_Hall '-P 4 2'
_cell_length_a 5.254
_cell_length_b 5.254
_cell_length_c 5.232
_cell_angle_alpha 90.00
_cell_angle_beta 90.00
_cell_angle_gamma 90.00
loop_
_atom_site_label
_atom_site_type_symbol
_atom_site_fract_x
_atom_site_fract_y
_atom_site_fract_z
Li1 Li 0.000 0.000 0.000
Zr1 Zr 0.500 0.500 0.500
As1 As 0.500 0.500 0.000
Se1 Se 0.000 0.500 0.500

(5)
# CePa4P5 PBE relaxed
# * total magnetization: 0.00 μB/f.u.
# * VASP energy: -8.46 eV per atom
# * N(E_F): 0.963 states/eV per atom
# * theoretical density: 9026 kg/m3
data_CePa4P5
_chemical_formula_sum 'Ce2 Pa8 P10'
_symmetry_space_group_name_H-M 'C 1 2/m 1'
_symmetry_Int_Tables_number 12
_cell_length_a 13.235
_cell_length_b 3.983
_cell_length_c 9.783
_cell_angle_alpha 90.00
_cell_angle_beta 119.56
_cell_angle_gamma 90.00
loop_
_symmetry_equiv_pos_as_xyz
'x,y,z'
'-x,-y,-z'
'-x,y,-z'
'x,-y,z'
'x+1/2,y+1/2,z'
'-x+1/2,-y+1/2,-z'
'-x+1/2,y+1/2,-z'
'x+1/2,-y+1/2,z'
loop_
_atom_site_label
_atom_site_type_symbol
_atom_site_fract_x
_atom_site_fract_y
_atom_site_fract_z
Ce1 Ce 0.000 0.000 0.000
Pa1 Pa 0.098 0.500 0.399
Pa2 Pa 0.201 0.000 0.798
P1 P 0.000 0.000 0.500
P2 P 0.104 0.500 0.898
P3 P 0.201 0.000 0.304

(6)
# FeAgAs2 PBE relaxed
# * polymorph energy (0 for the lowest one): 131 meV/atom
# * total magnetization: 1.45 μB/f.u.
# * N(E_F): 0.551 states/eV per atom
# * theoretical density: 7020 kg/m3
data_FeAgAs2
_chemical_formula_sum 'Fe2 Ag2 As4'
_symmetry_space_group_name_H-M 'I m m m'
_symmetry_Int_Tables_number 71
_symmetry_space_group_name_Hall '-I 2 2'
_cell_length_a 2.845
_cell_length_b 4.668
_cell_length_c 11.172
_cell_angle_alpha 90.00
_cell_angle_beta 90.00
_cell_angle_gamma 90.00
loop_
_atom_site_label
_atom_site_type_symbol
_atom_site_fract_x
_atom_site_fract_y
_atom_site_fract_z
Fe1 Fe 0.000 0.000 0.000
Ag1 Ag 0.000 0.000 0.500
As1 As 0.000 0.500 0.330

(7)
# Pr3Ge2Pt3 PBE relaxed
# * total magnetization: 0.00 μB/f.u.
# * VASP energy: -6.23 eV per atom
# * N(E_F): 0.642 states/eV per atom
# * theoretical density: 10666 kg/m3
data_Pr3Ge2Pt3
_chemical_formula_sum 'Pr12 Ge8 Pt12'
_symmetry_space_group_name_H-M 'C m c m'
_symmetry_Int_Tables_number 63
_symmetry_space_group_name_Hall '-C 2c 2'
_cell_length_a 4.422
_cell_length_b 10.797
_cell_length_c 15.041
_cell_angle_alpha 90.00
_cell_angle_beta 90.00
_cell_angle_gamma 90.00
loop_
_atom_site_label
_atom_site_type_symbol
_atom_site_fract_x
_atom_site_fract_y
_atom_site_fract_z
Pr1 Pr 0.000 0.086 0.105
Pr2 Pr 0.000 0.381 0.250
Ge1 Ge 0.000 0.210 0.597
Pt1 Pt 0.000 0.324 0.750
Pt2 Pt 0.000 0.381 0.045

(8)
# Zr2CdIn2 PBE relaxed
# * polymorph energy (0 for the lowest one): 0 meV/atom
# * total magnetization: 0.00 μB/f.u.
# * N(E_F): 0.559 states/eV per atom
# * theoretical density: 7587 kg/m3
data_Zr2CdIn2
_chemical_formula_sum 'Zr4 Cd2 In4'
_symmetry_space_group_name_H-M 'P 4/m b m'
_symmetry_Int_Tables_number 127
_symmetry_space_group_name_Hall '-P 4 2ab'
_cell_length_a 7.450
_cell_length_b 7.450
_cell_length_c 4.137
_cell_angle_alpha 90.00
_cell_angle_beta 90.00
_cell_angle_gamma 90.00
loop_
_atom_site_label
_atom_site_type_symbol
_atom_site_fract_x
_atom_site_fract_y
_atom_site_fract_z
Zr1 Zr 0.172 0.328 0.000
Cd1 Cd 0.000 0.000 0.500
In1 In 0.132 0.632 0.500

(9)
# Pr2AlGe4Rh3 PBE relaxed
# * total magnetization: 0.00 μB/f.u.
# * VASP energy: -6.17 eV per atom
# * N(E_F): 0.543 states/eV per atom
# * theoretical density: 7940 kg/m3
data_Pr2AlGe4Rh3
_chemical_formula_sum 'Pr2 Al1 Ge4 Rh3'
_symmetry_space_group_name_H-M 'P -4 m 2'
_symmetry_Int_Tables_number 115
_cell_length_a 4.264
_cell_length_b 4.264
_cell_length_c 10.443
_cell_angle_alpha 90.00
_cell_angle_beta 90.00
_cell_angle_gamma 90.00
loop_
_symmetry_equiv_pos_as_xyz
'x,y,z'
'y,-x,-z'
'-x,-y,z'
'-y,x,-z'
'-x,y,z'
'-y,-x,-z'
'x,-y,z'
'y,x,-z'
loop_
_atom_site_label
_atom_site_type_symbol
_atom_site_fract_x
_atom_site_fract_y
_atom_site_fract_z
Pr1 Pr 0.000 0.500 0.241
Al1 Al 0.000 0.000 0.500
Ge1 Ge 0.000 0.000 0.000
Ge2 Ge 0.000 0.500 0.644
Ge3 Ge 0.500 0.500 0.000
Rh1 Rh 0.000 0.500 0.879
Rh2 Rh 0.500 0.500 0.500

(10)
# CsPaNbN4 PBE relaxed
# * total magnetization: 0.00 μB/f.u.
# * N(E_F): 0.805 states/eV per atom
# * theoretical density: 5684 kg/m3
# * ΔE_f (raw): -0.70 eV per atom
data_CsPaNbN4
_chemical_formula_sum 'Cs2 Pa2 Nb2 N8'
_symmetry_space_group_name_H-M 'P 1 21/m 1'
_symmetry_Int_Tables_number 11
_cell_length_a 6.157
_cell_length_b 6.056
_cell_length_c 8.209
_cell_angle_alpha 90.00
_cell_angle_beta 101.72
_cell_angle_gamma 90.00
loop_
_symmetry_equiv_pos_as_xyz
'x,y,z'
'-x,-y,-z'
'-x,y+1/2,-z'
'x,-y+1/2,z'
loop_
_atom_site_label
_atom_site_type_symbol
_atom_site_fract_x
_atom_site_fract_y
_atom_site_fract_z
Cs1 Cs 0.178 0.250 0.098
Pa1 Pa 0.163 0.750 0.463
Nb1 Nb 0.376 0.250 0.657
N1 N 0.147 0.016 0.651
N2 N 0.305 0.750 0.237
N3 N 0.452 0.250 0.445

(11)
# Cs2TlAgAu PBE relaxed
# * polymorph energy (0 for the lowest one): 0 meV/atom
# * total magnetization: 0.00 μB/f.u.
# * N(E_F): 0.567 states/eV per atom
# * theoretical density: 4971 kg/m3
data_Cs2TlAgAu
_chemical_formula_sum 'Cs2 Tl1 Ag1 Au1'
_symmetry_space_group_name_H-M 'P 4/m m m'
_symmetry_Int_Tables_number 123
_symmetry_space_group_name_Hall '-P 4 2'
_cell_length_a 6.776
_cell_length_b 6.776
_cell_length_c 5.638
_cell_angle_alpha 90.00
_cell_angle_beta 90.00
_cell_angle_gamma 90.00
loop_
_atom_site_label
_atom_site_type_symbol
_atom_site_fract_x
_atom_site_fract_y
_atom_site_fract_z
Cs1 Cs 0.000 0.500 0.000
Tl1 Tl 0.000 0.000 0.500
Ag1 Ag 0.500 0.500 0.500
Au1 Au 0.000 0.000 0.000

(12)
# Mg2AlTe PBE relaxed
# * polymorph energy (0 for the lowest one): 0 meV/atom
# * total magnetization: 0.00 μB/f.u.
# * N(E_F): 0.338 states/eV per atom
# * theoretical density: 3468 kg/m3
# * ΔE_f (raw): -0.14 eV per atom
data_Mg2AlTe
_chemical_formula_sum 'Mg4 Al2 Te2'
_symmetry_space_group_name_H-M 'C 1 m 1'
_symmetry_Int_Tables_number 8
_cell_length_a 12.002
_cell_length_b 3.888
_cell_length_c 4.434
_cell_angle_alpha 90.00
_cell_angle_beta 109.88
_cell_angle_gamma 90.00
loop_
_symmetry_equiv_pos_as_xyz
'x,y,z'
'x,-y,z'
'x+1/2,y+1/2,z'
'x+1/2,-y+1/2,z'
loop_
_atom_site_label
_atom_site_type_symbol
_atom_site_fract_x
_atom_site_fract_y
_atom_site_fract_z
Mg1 Mg 0.000 0.000 0.000
Mg2 Mg 0.219 0.500 0.447
Al1 Al 0.241 0.000 0.955
Te1 Te 0.460 0.000 0.456

- Look up the theoretical density of the eleventh one.
  4971 kg/m3

- Number 5 is which compound?
  CePa4P5

- The highest N(E_F) belongs to which entry?
  LiZrAsSe2

- Number 4 is which compound?
  LiZrAsSe2